Entry 1:
Here is a geometry-optimized MnBiF structure from Alexandria. Energies are from GGA+U.

Values from the calculation:
* ρ: 6.813 g/cm3
* density of states at the Fermi level: 0.15 states/eV/atom
* electronic total energy: -5.49 eV per atom
* crystal system: monoclinic
* magnetization: 4.70 μB per formula unit
* space-group type: C2/m (12)

Unit cell a=3.3933 b=6.6812 c=7.2754 alpha=60.65 beta=76.51 gamma=75.29
Site moments in Bohr magnetons follow the coordinates.
Sites, in units of the cell vectors:
Mn (0.8801, 0.3182, 0.9216)  4.60
F (0.2834, 0.3273, 0.1059)  0.06
Bi (0.5783, 0.2309, 0.6126)  -0.15
F (0.7166, 0.6727, 0.8941)  0.06
Mn (0.1199, 0.6818, 0.0784)  4.60
Bi (0.4217, 0.7691, 0.3874)  -0.15


Entry 2:
Here is a geometry-optimized MnBiF3 structure from Alexandria. Energies are from GGA+U.

Values from the calculation:
* ρ: 5.588 g/cm3
* density of states at the Fermi level: 0.09 states/eV/atom
* crystal system: cubic
* offset from the most stable computed form: 0.4065 eV/atom
* magnetization: 5.00 μB per formula unit
* space-group type: Pm-3m (221)

Unit cell a=4.5687 b=4.5687 c=4.5687 alpha=90.00 beta=90.00 gamma=90.00
Site moments in Bohr magnetons follow the coordinates.
Sites, in units of the cell vectors:
F (0.0000, 0.5000, 0.0000)  0.01
Mn (0.5000, 0.5000, 0.5000)  4.81
F (0.0000, 0.0000, 0.5000)  -0.01
F (0.5000, 0.0000, 0.0000)  0.00
Bi (0.0000, 0.0000, 0.0000)  -0.14


Entry 3:
Here is a geometry-optimized Mn3BiF structure from Alexandria. Energies are from GGA+U.

Values from the calculation:
* ρ: 3.585 g/cm3
* density of states at the Fermi level: 0.53 states/eV/atom
* crystal system: cubic
* offset from the most stable computed form: 0.7276 eV/atom
* magnetization: 15.34 μB per formula unit
* space-group type: Pm-3m (221)

Unit cell a=5.6663 b=5.6663 c=5.6663 alpha=90.00 beta=90.00 gamma=90.00
Site moments in Bohr magnetons follow the coordinates.
Sites, in units of the cell vectors:
Mn (0.0000, 0.5000, 0.0000)  4.67
Mn (0.0000, 0.0000, 0.5000)  4.83
Mn (0.5000, 0.0000, 0.0000)  4.60
Bi (0.0000, 0.0000, 0.0000)  -0.09
F (0.5000, 0.5000, 0.5000)  0.04


Entry 4:
Here is a geometry-optimized MnBiF3 structure from Alexandria. Energies are from GGA+U.

Values from the calculation:
* ρ: 6.668 g/cm3
* density of states at the Fermi level: 0.44 states/eV/atom
* crystal system: cubic
* offset from the most stable computed form: 0.0000 eV/atom
* magnetization: 5.01 μB per formula unit
* space-group type: Pm-3m (221)

Unit cell a=4.3073 b=4.3073 c=4.3073 alpha=90.00 beta=90.00 gamma=90.00
Site moments in Bohr magnetons follow the coordinates.
Sites, in units of the cell vectors:
Mn (0.0000, 0.0000, 0.0000)  4.70
F (0.0000, 0.5000, 0.0000)  0.04
F (0.0000, 0.0000, 0.5000)  0.02
Bi (0.5000, 0.5000, 0.5000)  -0.01
F (0.5000, 0.0000, 0.0000)  0.07


Entry 5:
Here is a geometry-optimized Mn2BiF structure from Alexandria. Energies are from GGA+U.

Values from the calculation:
* ρ: 6.862 g/cm3
* density of states at the Fermi level: 0.07 states/eV/atom
* crystal system: cubic
* offset from the most stable computed form: 0.1229 eV/atom
* magnetization: 9.99 μB per formula unit
* space-group type: Fm-3m (225)

Unit cell a=4.8717 b=4.8717 c=4.8717 alpha=60.00 beta=60.00 gamma=60.00
Site moments in Bohr magnetons follow the coordinates.
Sites, in units of the cell vectors:
F (0.0000, 0.0000, 0.0000)  0.09
Mn (0.7500, 0.7500, 0.7500)  4.64
Bi (0.5000, 0.5000, 0.5000)  -0.07
Mn (0.2500, 0.2500, 0.2500)  4.64


Entry 6:
Here is a geometry-optimized Mn2BiF structure from Alexandria. Energies are from GGA+U.

Values from the calculation:
* ρ: 5.778 g/cm3
* density of states at the Fermi level: 0.09 states/eV/atom
* crystal system: tetragonal
* offset from the most stable computed form: 0.0000 eV/atom
* magnetization: 9.95 μB per formula unit
* space-group type: I-42d (122)

Unit cell a=5.4980 b=5.4980 c=7.5086 alpha=68.52 beta=68.52 gamma=90.00
Site moments in Bohr magnetons follow the coordinates.
Sites, in units of the cell vectors:
F (0.2500, 0.7500, 0.5000)  0.08
Bi (0.0000, 0.0000, 0.0000)  -0.11
F (0.5000, 0.5000, 0.0000)  0.08
Mn (0.2275, 0.6250, 0.2500)  4.63
Mn (0.8750, 0.7725, 0.7500)  4.63
Mn (0.3750, 0.4775, 0.7500)  4.63
Mn (0.5225, 0.1250, 0.2500)  4.63
Bi (0.7500, 0.2500, 0.5000)  -0.11


Entry 7:
Here is a geometry-optimized Mn3BiF structure from Alexandria. Energies are from GGA+U.

Values from the calculation:
* ρ: 6.222 g/cm3
* density of states at the Fermi level: 0.77 states/eV/atom
* crystal system: cubic
* offset from the most stable computed form: 0.0000 eV/atom
* magnetization: 14.52 μB per formula unit
* space-group type: Pm-3m (221)

Unit cell a=4.7152 b=4.7152 c=4.7152 alpha=90.00 beta=90.00 gamma=90.00
Site moments in Bohr magnetons follow the coordinates.
Sites, in units of the cell vectors:
F (0.0000, 0.0000, 0.0000)  0.10
Mn (0.0000, 0.0000, 0.5000)  4.59
Bi (0.5000, 0.5000, 0.5000)  -0.02
Mn (0.0000, 0.5000, 0.0000)  4.54
Mn (0.5000, 0.0000, 0.0000)  4.55


Entry 8:
Here is a geometry-optimized MnBiF4 structure from Alexandria. Energies are from GGA+U.

Values from the calculation:
* ρ: 5.681 g/cm3
* electronic total energy: -5.34 eV per atom
* crystal system: tetragonal
* magnetization: 6.00 μB per formula unit
* space-group type: I4_1md (109)

Unit cell a=6.3742 b=6.3742 c=6.3742 alpha=111.40 beta=111.40 gamma=105.68
Site moments in Bohr magnetons follow the coordinates.
Sites, in units of the cell vectors:
F (0.2745, 0.4673, 0.8071)  0.07
F (0.7849, 0.4677, 0.6828)  0.06
F (0.2173, 0.5245, 0.3071)  0.07
F (0.2173, 0.9102, 0.6929)  0.07
Bi (0.4909, 0.9909, 0.5000)  0.55
Mn (0.2545, 0.2545, 0.0000)  4.71
F (0.7849, 0.1022, 0.3172)  0.06
Bi (0.7409, 0.7409, 0.0000)  0.55
F (0.2177, 0.0349, 0.1828)  0.06
Mn (0.0045, 0.5045, 0.5000)  4.71
F (0.6602, 0.4673, 0.1929)  0.07
F (0.8522, 0.0349, 0.8172)  0.06


Entry 9:
Here is a geometry-optimized MnBi3F structure from Alexandria. Energies are from GGA+U.

Values from the calculation:
* ρ: 8.815 g/cm3
* density of states at the Fermi level: 0.69 states/eV/atom
* crystal system: cubic
* offset from the most stable computed form: 0.0000 eV/atom
* magnetization: 4.85 μB per formula unit
* space-group type: Pm-3m (221)

Unit cell a=5.0920 b=5.0920 c=5.0920 alpha=90.00 beta=90.00 gamma=90.00
Site moments in Bohr magnetons follow the coordinates.
Sites, in units of the cell vectors:
Bi (0.0000, 0.0000, 0.5000)  -0.06
F (0.0000, 0.0000, 0.0000)  0.00
Bi (0.5000, 0.0000, 0.0000)  -0.04
Bi (0.0000, 0.5000, 0.0000)  -0.04
Mn (0.5000, 0.5000, 0.5000)  4.65


Entry 10:
Here is a geometry-optimized MnBi3F structure from Alexandria. Energies are from GGA+U.

Values from the calculation:
* ρ: 8.631 g/cm3
* density of states at the Fermi level: 1.00 states/eV/atom
* crystal system: cubic
* offset from the most stable computed form: 0.8127 eV/atom
* magnetization: 0.00 μB per formula unit
* space-group type: Pm-3m (221)

Unit cell a=5.1279 b=5.1279 c=5.1279 alpha=90.00 beta=90.00 gamma=90.00
Sites, in units of the cell vectors:
Bi (0.5000, 0.0000, 0.0000)
F (0.5000, 0.5000, 0.5000)
Mn (0.0000, 0.0000, 0.0000)
Bi (0.0000, 0.0000, 0.5000)
Bi (0.0000, 0.5000, 0.0000)


Entry 11:
Here is a geometry-optimized MnBiN2F structure from Alexandria. Energies are from GGA+U.

Values from the calculation:
* ρ: 6.301 g/cm3
* density of states at the Fermi level: 0.13 states/eV/atom
* crystal system: tetragonal
* offset from the most stable computed form: 0.5761 eV/atom
* magnetization: 5.00 μB per formula unit
* space-group type: P4/mmm (123)

Unit cell a=4.3352 b=4.3352 c=4.3602 alpha=90.00 beta=90.00 gamma=90.00
Site moments in Bohr magnetons follow the coordinates.
Sites, in units of the cell vectors:
N (0.0000, 0.5000, 0.0000)  -0.01
Mn (0.5000, 0.5000, 0.5000)  4.72
N (0.5000, 0.0000, 0.0000)  -0.01
F (0.0000, 0.0000, 0.5000)  0.01
Bi (0.0000, 0.0000, 0.0000)  -0.01


Entry 12:
Here is a geometry-optimized MnBiN2F structure from Alexandria. Energies are from GGA+U.

Values from the calculation:
* ρ: 8.133 g/cm3
* density of states at the Fermi level: 0.42 states/eV/atom
* crystal system: tetragonal
* offset from the most stable computed form: 0.0000 eV/atom
* magnetization: 3.07 μB per formula unit
* space-group type: P4/mmm (123)

Unit cell a=4.0315 b=4.0315 c=3.9057 alpha=90.00 beta=90.00 gamma=90.00
Site moments in Bohr magnetons follow the coordinates.
Sites, in units of the cell vectors:
Mn (0.0000, 0.0000, 0.0000)  3.77
Bi (0.5000, 0.5000, 0.5000)  0.14
F (0.0000, 0.0000, 0.5000)  0.01
N (0.5000, 0.0000, 0.0000)  -0.37
N (0.0000, 0.5000, 0.0000)  -0.37